1.
An optimized crystal structure of SiRhBr2. Source: the Alexandria database, functional PBE-GGA.

a b c (Å): 6.5459 6.5459 6.5459
angles (deg): 151.00 140.00 50.16
Sites, in units of the cell vectors:
Si (0.0000, 0.0000, 0.0000)
Rh (0.8544, 0.3544, 0.5000)
Br (0.3484, 0.8484, 0.5000)
Br (0.6285, 0.6285, 0.0000)

Properties
Distance to the lowest polymorph of the same formula (meV/atom): 331.3
ρ (g/cm³): 5.5
Symmetry: Imm2 (44)

***

2.
An optimized crystal structure of Er2Ru2O7. Source: the Alexandria database, functional PBE-GGA.

a b c (Å): 7.2039 7.2039 7.2039
angles (deg): 60.00 60.00 60.00
Sites, in units of the cell vectors:
Er (0.0000, 0.0000, 0.0000)
Er (0.0000, 0.0000, 0.5000)
Er (0.0000, 0.5000, 0.0000)
Er (0.5000, 0.0000, 0.0000)
Ru (0.0000, 0.5000, 0.5000)
Ru (0.5000, 0.0000, 0.5000)
Ru (0.5000, 0.5000, 0.0000)
Ru (0.5000, 0.5000, 0.5000)
O (0.1250, 0.1250, 0.1250)
O (0.1608, 0.1608, 0.5892)
O (0.1608, 0.5892, 0.1608)
O (0.1608, 0.5892, 0.5892)
O (0.4108, 0.4108, 0.8392)
O (0.4108, 0.8392, 0.4108)
O (0.4108, 0.8392, 0.8392)
O (0.5892, 0.1608, 0.1608)
O (0.5892, 0.1608, 0.5892)
O (0.5892, 0.5892, 0.1608)
O (0.8392, 0.4108, 0.4108)
O (0.8392, 0.4108, 0.8392)
O (0.8392, 0.8392, 0.4108)
O (0.8750, 0.8750, 0.8750)

Properties
ρ (g/cm³): 8.1
Symmetry: Fd-3m (227)

***

3.
An optimized crystal structure of Cu3BiSe3. Source: the Alexandria database, functional PBE-GGA.

a b c (Å): 8.0516 8.0516 8.0516
angles (deg): 52.18 52.18 52.18
Sites, in units of the cell vectors:
Cu (0.1655, 0.4691, 0.7449)
Cu (0.2551, 0.8345, 0.5309)
Cu (0.4691, 0.7449, 0.1655)
Cu (0.5309, 0.2551, 0.8345)
Cu (0.7449, 0.1655, 0.4691)
Cu (0.8345, 0.5309, 0.2551)
Bi (0.3471, 0.3471, 0.3471)
Bi (0.6529, 0.6529, 0.6529)
Se (0.0668, 0.7783, 0.4148)
Se (0.2217, 0.5852, 0.9332)
Se (0.4148, 0.0668, 0.7783)
Se (0.5852, 0.9332, 0.2217)
Se (0.7783, 0.4148, 0.0668)
Se (0.9332, 0.2217, 0.5852)

Properties
ρ (g/cm³): 7.0
Symmetry: R-3 (148)

***

4.
An optimized crystal structure of Mg14SnMo. Source: the Alexandria database, functional PBE-GGA.

a b c (Å): 6.3025 6.3025 10.0702
angles (deg): 90.00 90.00 120.00
Sites, in units of the cell vectors:
Mg (0.0000, 0.0000, 0.2486)
Mg (0.0000, 0.0000, 0.7514)
Mg (0.0111, 0.5055, 0.2594)
Mg (0.0111, 0.5055, 0.7406)
Mg (0.3323, 0.1661, 0.5000)
Mg (0.3339, 0.1670, 0.0000)
Mg (0.4945, 0.5055, 0.2594)
Mg (0.4945, 0.5055, 0.7406)
Mg (0.4945, 0.9889, 0.2594)
Mg (0.4945, 0.9889, 0.7406)
Mg (0.8330, 0.1670, 0.0000)
Mg (0.8330, 0.6661, 0.0000)
Mg (0.8339, 0.1661, 0.5000)
Mg (0.8339, 0.6677, 0.5000)
Sn (0.3333, 0.6667, 0.0000)
Mo (0.3333, 0.6667, 0.5000)

Properties
Energy of formation (eV/atom): 0.06
ρ (g/cm³): 2.7
Symmetry: P-6m2 (187)

***

5.
An optimized crystal structure of Sc2BeBiPb. Source: the Alexandria database, functional PBE-GGA.

a b c (Å): 5.0363 5.0363 4.6262
angles (deg): 90.00 90.00 90.00
Sites, in units of the cell vectors:
Sc (0.0000, 0.5000, 0.0000)
Sc (0.5000, 0.0000, 0.0000)
Be (0.0000, 0.0000, 0.0000)
Bi (0.5000, 0.5000, 0.5000)
Pb (0.0000, 0.0000, 0.5000)

Properties
Energy of formation (eV/atom): 0.00
ρ (g/cm³): 7.3
Symmetry: P4/mmm (123)

***

6.
An optimized crystal structure of Eu2PuTl. Source: the Alexandria database, functional PBE-GGA.

a b c (Å): 4.9946 4.9946 5.0520
angles (deg): 90.00 90.00 90.00
Sites, in units of the cell vectors:
Eu (0.0000, 0.5000, 0.0000)
Eu (0.5000, 0.0000, 0.0000)
Pu (0.0000, 0.0000, 0.5000)
Tl (0.5000, 0.5000, 0.5000)

Properties
Distance to the lowest polymorph of the same formula (meV/atom): 115.6
Energy of formation (eV/atom): 0.07
ρ (g/cm³): 9.9
Symmetry: P4/mmm (123)

***

7.
An optimized crystal structure of MnBeSe2. Source: the Alexandria database, functional PBE-GGA.

a b c (Å): 3.0523 3.0523 7.0260
angles (deg): 90.00 90.00 90.00
Sites, in units of the cell vectors:
Mn (0.0000, 0.0000, 0.0000)
Be (0.5000, 0.5000, 0.8208)
Se (0.0000, 0.0000, 0.6604)
Se (0.5000, 0.5000, 0.1702)

Properties
ρ (g/cm³): 5.6
Symmetry: P4mm (99)

***

8.
An optimized crystal structure of YTcPt2. Source: the Alexandria database, functional PBE-GGA.

a b c (Å): 4.7150 4.7150 4.7150
angles (deg): 60.00 60.00 60.00
Sites, in units of the cell vectors:
Y (0.0000, 0.0000, 0.0000)
Tc (0.5000, 0.5000, 0.5000)
Pt (0.2500, 0.2500, 0.2500)
Pt (0.7500, 0.7500, 0.7500)

Properties
Distance to the lowest polymorph of the same formula (meV/atom): 154.2
Energy of formation (eV/atom): -0.29
ρ (g/cm³): 12.9
Symmetry: Fm-3m (225)

***

The energy results, record by record, are as follows: -3.888 -7.833 -3.961 -2.258 -4.796 -9.239 -5.050 -7.520 eV/atom.
The magnetic moment results, record by record, are as follows: 0.00 8.07 0.00 0.94 0.00 8.56 0.00 2.57 Bohr magnetons per cell.